A plane-wave DFT calculation with PBE was carried out for a relaxed Rb3Ac2LaO6 crystal.

Computed properties:
DFT total energy = -76.446 eV per formula unit

a b c (Å): 6.6608 6.6608 6.9956
angles (deg): 99.12 99.12 120.01
Fractional positions:
Rb (0.0000, 0.0000, 0.0000)
Rb (0.3357, 0.6643, 0.0000)
Rb (0.6643, 0.3357, 0.0000)
Ac (0.1668, 0.8332, 0.5000)
Ac (0.8332, 0.1668, 0.5000)
La (0.5000, 0.5000, 0.5000)
O (0.1131, 0.4388, 0.3164)
O (0.2353, 0.2353, 0.6834)
O (0.4388, 0.1131, 0.3164)
O (0.5612, 0.8869, 0.6836)
O (0.7647, 0.7647, 0.3166)
O (0.8869, 0.5612, 0.6836)

***

A plane-wave DFT calculation with PBE was carried out for a relaxed Rb3Ac3LaO8 crystal.

Computed properties:
DFT total energy = -97.916 eV per formula unit

a b c (Å): 8.0300 8.0300 8.0300
angles (deg): 57.23 57.23 57.23
Fractional positions:
Rb (0.0000, 0.5000, 0.5000)
Rb (0.5000, 0.0000, 0.5000)
Rb (0.5000, 0.5000, 0.0000)
Ac (0.0000, 0.0000, 0.5000)
Ac (0.0000, 0.5000, 0.0000)
Ac (0.5000, 0.0000, 0.0000)
La (0.5000, 0.5000, 0.5000)
O (0.2284, 0.2284, 0.2284)
O (0.2361, 0.7182, 0.7182)
O (0.2818, 0.2818, 0.7639)
O (0.2818, 0.7639, 0.2818)
O (0.7182, 0.2361, 0.7182)
O (0.7182, 0.7182, 0.2361)
O (0.7639, 0.2818, 0.2818)
O (0.7716, 0.7716, 0.7716)

***

Number 1: DOS(E_F) 0.000 states/eV/atom. Number 2: DOS(E_F) 1.113 states/eV/atom.